1.
Below is a relaxed CoCuIr3 crystal, with properties calculated at the PBE-GGA level.

Computed properties:
The calculation puts the total energy at -6.01 eV per atom. The magnetization comes out at 3.486 μB per formula unit. The formation energy comes out at 7.7 eV per formula unit.

```
CoCuIr3
1.0
4.439 0.000 0.000
0.000 4.439 0.000
0.000 0.000 4.439
Ir Co Cu
3 1 1
direct
0.000 0.500 0.000
0.000 0.000 0.500
0.500 0.000 0.000
0.000 0.000 0.000
0.500 0.500 0.500
```

2.
Below is a relaxed CoCuIr2 crystal, with properties calculated at the PBE-GGA level.

Computed properties:
The calculation puts the total energy at -7.12 eV per atom. The magnetization comes out at 0.491 μB per formula unit. The formation energy comes out at 0.4 eV per formula unit.

```
CoCuIr2
1.0
4.605 0.016 0.000
1.624 4.310 0.000
-3.115 -2.163 2.614
Cu Co Ir
1 1 2
direct
0.750 0.250 0.500
0.500 0.500 0.000
0.000 0.000 0.000
0.250 0.750 0.500
```

3.
Below is a relaxed CoCu2Ir crystal, with properties calculated at the PBE-GGA level.

Computed properties:
The calculation puts the total energy at -5.91 eV per atom. The magnetization comes out at 2.022 μB per formula unit. The formation energy comes out at 0.5 eV per formula unit.

```
CoCu2Ir
1.0
4.493 -0.005 -0.003
3.713 2.531 -0.003
0.811 0.249 4.410
Cu Ir Co
2 1 1
direct
0.750 0.750 0.769
0.999 0.999 0.983
0.503 0.503 0.477
0.249 0.249 0.271
```

| no. | excess energy over the best structure of this formula in the dataset (eV/f.u.) |
| --- | --- |
| 1 | 0.00 |
| 2 | 0.16 |
| 3 | 0.12 |